# 1
# ZrHgSb2

An optimized crystal structure of ZrHgSb2 (PBE, Alexandria).

## Properties
Magnetic moment, μB per cell: 0.00
Electronic total energy, eV per atom: -4.42
ΔE_f (raw), meV per atom: -142

a b c (Å): 3.8375 3.8375 10.0567
angles (deg): 65.84 65.84 59.98
Atoms (fractional coordinates):
Zr 0.6812 0.6812 0.0057
Hg 0.4546 0.4546 0.4779
Sb 0.1644 0.1644 0.7922
Sb 0.1999 0.1999 0.2243

# 2
# Er4Mn3Ga16

An optimized crystal structure of Er4Mn3Ga16 (PBE, Alexandria).

## Properties
Magnetic moment, μB per cell: 5.98
Electronic total energy, eV per atom: -4.50

a b c (Å): 6.0489 6.0489 11.2590
angles (deg): 90.00 90.00 90.00
Last column: magnetic moment on the atom in μB.
Atoms (fractional coordinates):
Er 0.5000 0.0000 0.8104  -0.07
Er 0.0000 0.5000 0.1896  -0.07
Er 0.0000 0.5000 0.8104  -0.07
Er 0.5000 0.0000 0.1896  -0.07
Mn 0.0000 0.5000 0.5000  2.27
Mn 0.0000 0.0000 0.0000  2.01
Mn 0.5000 0.0000 0.5000  2.27
Ga 0.0000 0.0000 0.7830  -0.02
Ga 0.2835 0.2835 0.0000  -0.03
Ga 0.5000 0.5000 0.8062  -0.02
Ga 0.7165 0.2835 0.0000  -0.03
Ga 0.5000 0.5000 0.1938  -0.02
Ga 0.7165 0.7165 0.0000  -0.03
Ga 0.0000 0.0000 0.2170  -0.02
Ga 0.7504 0.7504 0.6211  -0.03
Ga 0.7504 0.2496 0.3789  -0.03
Ga 0.2496 0.2496 0.6211  -0.03
Ga 0.2496 0.7504 0.3789  -0.03
Ga 0.2835 0.7165 0.0000  -0.03
Ga 0.7504 0.7504 0.3789  -0.03
Ga 0.7504 0.2496 0.6211  -0.03
Ga 0.2496 0.2496 0.3789  -0.03
Ga 0.2496 0.7504 0.6211  -0.03

# 3
# AcB2H6

An optimized crystal structure of AcB2H6 (PBE, Alexandria).

## Properties
Magnetic moment, μB per cell: 0.00
Polymorph energy (0 for the lowest one), eV per atom: 0.000
Electronic total energy, eV per atom: -4.32

a b c (Å): 6.8991 6.3118 6.3118
angles (deg): 67.71 55.74 55.74
Atoms (fractional coordinates):
Ac 0.2500 0.2801 0.7199
Ac 0.7500 0.7199 0.2801
B 0.2771 0.6635 0.8041
B 0.2229 0.1959 0.3365
B 0.7229 0.3365 0.1959
B 0.7771 0.8041 0.6635
H 0.2464 0.7368 0.6124
H 0.2536 0.3876 0.2632
H 0.7536 0.2632 0.3876
H 0.7464 0.6124 0.7368
H 0.9738 0.7995 0.4630
H 0.5262 0.5370 0.2005
H 0.0262 0.2005 0.5370
H 0.4738 0.4630 0.7995
H 0.1988 0.8235 0.9331
H 0.3012 0.0669 0.1765
H 0.8012 0.1765 0.0669
H 0.6988 0.9331 0.8235

# 4
# V4Mo3

An optimized crystal structure of V4Mo3 (PBE, Alexandria).

## Properties
Magnetic moment, μB per cell: 0.00
Polymorph energy (0 for the lowest one), eV per atom: 0.328
Electronic total energy, eV per atom: -9.65

a b c (Å): 2.5489 6.8637 6.9602
angles (deg): 118.57 100.55 90.00
Atoms (fractional coordinates):
V 0.0685 0.4306 0.1371
V 0.9315 0.5694 0.8629
V 0.3579 0.1461 0.7158
V 0.6421 0.8539 0.2842
Mo 0.0000 0.0000 0.0000
Mo 0.2178 0.2848 0.4356
Mo 0.7822 0.7152 0.5644

# 5
# K4TeN4

An optimized crystal structure of K4TeN4 (PBE, Alexandria).

## Properties
Magnetic moment, μB per cell: 1.97
Electronic total energy, eV per atom: -4.88
ΔE_f (raw), meV per atom: -340

a b c (Å): 7.7447 9.6452 6.0253
angles (deg): 82.81 81.05 36.69
Last column: magnetic moment on the atom in μB.
Atoms (fractional coordinates):
K 0.2538 0.0011 0.4477  0.02
K 0.7462 0.9989 0.5523  0.02
K 0.7462 0.5009 0.8984  0.02
K 0.2538 0.4991 0.1016  0.02
Te 0.0000 0.0000 0.0000  0.01
N 0.8969 0.6041 0.5003  0.29
N 0.5738 0.5012 0.4982  0.17
N 0.1031 0.3959 0.4997  0.29
N 0.4262 0.4988 0.5018  0.17

# 6
# SrSiMo2Ir

An optimized crystal structure of SrSiMo2Ir (PBE, Alexandria).

## Properties
Magnetic moment, μB per cell: 3.47
Electronic total energy, eV per atom: -4.47
ΔE_f (raw), meV per atom: 3061

a b c (Å): 4.8935 4.8726 4.8935
angles (deg): 90.00 90.00 90.00
Last column: magnetic moment on the atom in μB.
Atoms (fractional coordinates):
Sr 0.0000 0.0000 0.0000  0.06
Mo 0.0000 0.0000 0.5000  1.37
Mo 0.5000 0.0000 0.0000  1.58
Ir 0.0000 0.5000 0.0000  0.11
Si 0.5000 0.5000 0.5000  -0.02

# 7
# ZrIrCl2

An optimized crystal structure of ZrIrCl2 (PBE, Alexandria).

## Properties
Magnetic moment, μB per cell: 0.00
Polymorph energy (0 for the lowest one), eV per atom: 1.184
Electronic total energy, eV per atom: -4.90
ΔE_f (raw), meV per atom: 378

a b c (Å): 5.7611 5.7611 6.6316
angles (deg): 64.26 64.26 90.00
Atoms (fractional coordinates):
Ir 0.0000 0.0000 0.0000
Ir 0.7500 0.2500 0.5000
Zr 0.5000 0.5000 0.0000
Zr 0.2500 0.7500 0.5000
Cl 0.6420 0.1250 0.2500
Cl 0.1080 0.6250 0.2500
Cl 0.3750 0.3580 0.7500
Cl 0.8750 0.8920 0.7500

# 8
# TlFe2Ru

An optimized crystal structure of TlFe2Ru (PBE, Alexandria).

## Properties
Magnetic moment, μB per cell: 6.02
Polymorph energy (0 for the lowest one), eV per atom: 0.074
Electronic total energy, eV per atom: -6.68

a b c (Å): 4.4103 4.4103 4.4103
angles (deg): 60.00 60.00 60.00
Last column: magnetic moment on the atom in μB.
Atoms (fractional coordinates):
Fe 0.0000 0.0000 0.0000  2.59
Fe 0.7500 0.7500 0.7500  2.87
Ru 0.5000 0.5000 0.5000  0.66
Tl 0.2500 0.2500 0.2500  -0.05

# 9
# K4Rb2Au

An optimized crystal structure of K4Rb2Au (PBE, Alexandria).

## Properties
Magnetic moment, μB per cell: 0.00
Polymorph energy (0 for the lowest one), eV per atom: 0.023
Electronic total energy, eV per atom: -1.43

a b c (Å): 6.5585 6.5585 12.3925
angles (deg): 105.34 105.34 90.00
Atoms (fractional coordinates):
K 0.8572 0.8572 0.7145
K 0.1428 0.1428 0.2855
K 0.0000 0.5000 0.0000
K 0.5000 0.0000 0.0000
Au 0.0000 0.0000 0.0000
Rb 0.6626 0.6626 0.3252
Rb 0.3374 0.3374 0.6748

# 10
# Cs3GaPd

An optimized crystal structure of Cs3GaPd (PBE, Alexandria).

## Properties
Magnetic moment, μB per cell: 0.44
Electronic total energy, eV per atom: -1.62

a b c (Å): 6.8238 6.8238 6.8238
angles (deg): 90.00 90.00 90.00
Last column: magnetic moment on the atom in μB.
Atoms (fractional coordinates):
Cs 0.0000 0.5000 0.0000  0.00
Cs 0.0000 0.0000 0.5000  0.00
Cs 0.5000 0.0000 0.0000  0.00
Ga 0.0000 0.0000 0.0000  0.02
Pd 0.5000 0.5000 0.5000  0.24

# 11
# KCd2Hg

An optimized crystal structure of KCd2Hg (PBE, Alexandria).

## Properties
Magnetic moment, μB per cell: 0.00
Electronic total energy, eV per atom: -0.79

a b c (Å): 6.1769 6.1769 3.5045
angles (deg): 90.00 90.00 113.96
Atoms (fractional coordinates):
Cd 0.0000 0.0000 0.0000
Cd 0.5000 0.5000 0.0000
Hg 0.5000 0.0000 0.5000
K 0.0000 0.5000 0.5000

# 12
# TmAlNiHg

An optimized crystal structure of TmAlNiHg (PBE, Alexandria).

## Properties
Magnetic moment, μB per cell: 0.00
Electronic total energy, eV per atom: -3.88

a b c (Å): 4.7024 4.7024 4.7024
angles (deg): 60.00 60.00 60.00
Atoms (fractional coordinates):
Ni 0.5000 0.5000 0.5000
Tm 0.2500 0.2500 0.2500
Hg 0.0000 0.0000 0.0000
Al 0.7500 0.7500 0.7500